(1)
{
  "formula": "HfZr2Tl",
  "functional": "GGA-PBEsol",
  "state": "optimized geometry",
  "total_magnetization_mub_per_fu": 0.00,
  "formation_enthalpy_0k_kj_per_mol_atoms": 3.4,
  "sg": "Fm-3m, No. 225",
  "cell": [[6.990, 0.000, 0.000], [0.000, 6.990, 0.000], [0.000, 0.000, 6.990]],
  "species": ["Hf", "Hf", "Hf", "Hf", "Zr", "Zr", "Zr", "Zr", "Zr", "Zr", "Zr", "Zr", "Tl", "Tl", "Tl", "Tl"],
  "fractional_positions": [[0.000, 0.000, 0.000], [0.000, 0.500, 0.500], [0.500, 0.000, 0.500], [0.500, 0.500, 0.000], [0.250, 0.250, 0.250], [0.250, 0.250, 0.750], [0.250, 0.750, 0.250], [0.250, 0.750, 0.750], [0.750, 0.250, 0.250], [0.750, 0.250, 0.750], [0.750, 0.750, 0.250], [0.750, 0.750, 0.750], [0.000, 0.000, 0.500], [0.000, 0.500, 0.000], [0.500, 0.000, 0.000], [0.500, 0.500, 0.500]]
}

***

(2)
{
  "formula": "HfV2W",
  "functional": "GGA-PBEsol",
  "state": "optimized geometry",
  "total_magnetization_mub_per_fu": 0.01,
  "formation_enthalpy_0k_kj_per_mol_atoms": 8.6,
  "sg": "Fm-3m, No. 225",
  "cell": [[6.265, 0.000, 0.000], [0.000, 6.265, 0.000], [0.000, 0.000, 6.265]],
  "species": ["Hf", "Hf", "Hf", "Hf", "V", "V", "V", "V", "V", "V", "V", "V", "W", "W", "W", "W"],
  "fractional_positions": [[0.000, 0.000, 0.000], [0.000, 0.500, 0.500], [0.500, 0.000, 0.500], [0.500, 0.500, 0.000], [0.250, 0.250, 0.250], [0.250, 0.250, 0.750], [0.250, 0.750, 0.250], [0.250, 0.750, 0.750], [0.750, 0.250, 0.250], [0.750, 0.250, 0.750], [0.750, 0.750, 0.250], [0.750, 0.750, 0.750], [0.000, 0.000, 0.500], [0.000, 0.500, 0.000], [0.500, 0.000, 0.000], [0.500, 0.500, 0.500]]
}

***

(3)
{
  "formula": "HfZrW4",
  "functional": "GGA-PBEsol",
  "state": "optimized geometry",
  "total_magnetization_mub_per_fu": 0.00,
  "formation_enthalpy_0k_kj_per_mol_atoms": -14.0,
  "sg": "F-43m, No. 216",
  "cell": [[0.000, 3.779, 3.779], [3.779, 0.000, 3.779], [3.779, 3.779, 0.000]],
  "species": ["Hf", "Zr", "W", "W", "W", "W"],
  "fractional_positions": [[0.000, 0.000, 0.000], [0.750, 0.750, 0.750], [0.375, 0.375, 0.375], [0.375, 0.375, 0.875], [0.375, 0.875, 0.375], [0.875, 0.375, 0.375]]
}

***

(4)
{
  "formula": "YHf2Zn2",
  "functional": "GGA-PBEsol",
  "state": "optimized geometry",
  "total_magnetization_mub_per_fu": 0.00,
  "formation_enthalpy_0k_kj_per_mol_atoms": -6.8,
  "sg": "I4/mmm, No. 139",
  "cell": [[4.184, 0.000, 0.000], [0.000, 4.184, 0.000], [0.000, 0.000, 11.932]],
  "species": ["Y", "Y", "Hf", "Hf", "Hf", "Hf", "Zn", "Zn", "Zn", "Zn"],
  "fractional_positions": [[0.000, 0.000, 0.000], [0.500, 0.500, 0.500], [0.000, 0.500, 0.250], [0.000, 0.500, 0.750], [0.500, 0.000, 0.250], [0.500, 0.000, 0.750], [0.000, 0.000, 0.401], [0.000, 0.000, 0.599], [0.500, 0.500, 0.099], [0.500, 0.500, 0.901]]
}

***

(5)
{
  "formula": "YHf3Zn",
  "functional": "GGA-PBEsol",
  "state": "optimized geometry",
  "total_magnetization_mub_per_fu": 1.88,
  "formation_enthalpy_0k_kj_per_mol_atoms": 58.3,
  "sg": "Pm-3m, No. 221",
  "cell": [[4.974, 0.000, 0.000], [0.000, 4.974, 0.000], [0.000, 0.000, 4.974]],
  "species": ["Y", "Hf", "Hf", "Hf", "Zn"],
  "fractional_positions": [[0.000, 0.000, 0.000], [0.000, 0.500, 0.500], [0.500, 0.000, 0.500], [0.500, 0.500, 0.000], [0.500, 0.500, 0.500]]
}

***

(6)
{
  "formula": "HfZn2",
  "functional": "GGA-PBEsol",
  "state": "optimized geometry",
  "total_magnetization_mub_per_fu": 0.44,
  "formation_enthalpy_0k_kj_per_mol_atoms": -23.3,
  "sg": "P6_3/mmc, No. 194",
  "cell": [[5.148, 0.000, 0.000], [-2.574, 4.458, 0.000], [0.000, 0.000, 8.221]],
  "species": ["Hf", "Hf", "Hf", "Hf", "Zn", "Zn", "Zn", "Zn", "Zn", "Zn", "Zn", "Zn"],
  "fractional_positions": [[0.333, 0.667, 0.066], [0.333, 0.667, 0.434], [0.667, 0.333, 0.566], [0.667, 0.333, 0.934], [0.000, 0.000, 0.000], [0.000, 0.000, 0.500], [0.172, 0.344, 0.750], [0.172, 0.828, 0.750], [0.344, 0.172, 0.250], [0.656, 0.828, 0.750], [0.828, 0.172, 0.250], [0.828, 0.656, 0.250]]
}

***

(7)
{
  "formula": "HfZn2",
  "functional": "GGA-PBEsol",
  "state": "optimized geometry",
  "total_magnetization_mub_per_fu": 0.67,
  "formation_enthalpy_0k_kj_per_mol_atoms": -23.5,
  "sg": "Fd-3m, No. 227",
  "cell": [[0.000, 3.614, 3.614], [3.614, 0.000, 3.614], [3.614, 3.614, 0.000]],
  "species": ["Hf", "Hf", "Zn", "Zn", "Zn", "Zn"],
  "fractional_positions": [[0.125, 0.125, 0.125], [0.875, 0.875, 0.875], [0.000, 0.500, 0.500], [0.500, 0.000, 0.500], [0.500, 0.500, 0.000], [0.500, 0.500, 0.500]]
}

***

(8)
{
  "formula": "HfZn16",
  "functional": "GGA-PBEsol",
  "state": "optimized geometry",
  "total_magnetization_mub_per_fu": 0.00,
  "formation_enthalpy_0k_kj_per_mol_atoms": -6.7,
  "sg": "Cmcm, No. 63",
  "cell": [[3.812, -5.635, 0.000], [3.812, 5.635, 0.000], [0.000, 0.000, 11.532]],
  "species": ["Hf", "Hf", "Zn", "Zn", "Zn", "Zn", "Zn", "Zn", "Zn", "Zn", "Zn", "Zn", "Zn", "Zn", "Zn", "Zn", "Zn", "Zn", "Zn", "Zn", "Zn", "Zn", "Zn", "Zn", "Zn", "Zn", "Zn", "Zn", "Zn", "Zn", "Zn", "Zn", "Zn", "Zn"],
  "fractional_positions": [[0.046, 0.954, 0.750], [0.954, 0.046, 0.250], [0.000, 0.000, 0.000], [0.000, 0.000, 0.500], [0.018, 0.644, 0.570], [0.018, 0.644, 0.930], [0.179, 0.821, 0.139], [0.179, 0.821, 0.361], [0.195, 0.480, 0.250], [0.242, 0.351, 0.633], [0.242, 0.351, 0.867], [0.293, 0.707, 0.750], [0.351, 0.242, 0.133], [0.351, 0.242, 0.367], [0.356, 0.982, 0.570], [0.356, 0.982, 0.930], [0.381, 0.619, 0.032], [0.381, 0.619, 0.468], [0.480, 0.195, 0.750], [0.520, 0.805, 0.250], [0.619, 0.381, 0.532], [0.619, 0.381, 0.968], [0.644, 0.018, 0.070], [0.644, 0.018, 0.430], [0.649, 0.758, 0.633], [0.649, 0.758, 0.867], [0.707, 0.293, 0.250], [0.758, 0.649, 0.133], [0.758, 0.649, 0.367], [0.805, 0.520, 0.750], [0.821, 0.179, 0.639], [0.821, 0.179, 0.861], [0.982, 0.356, 0.070], [0.982, 0.356, 0.430]]
}